GdY3Ir | GGA-PBE | optimized geometry

Cell: 5.4508 5.4508 5.4508 Å, 90.00 90.00 90.00°
Last column: nearest neighbours and their distance in Å.
Sites, in units of the cell vectors:
1 Gd 0.0000 0.0000 0.0000  12 Y 3.85
2 Y 0.0000 0.5000 0.5000  2 Ir 2.73
3 Y 0.5000 0.0000 0.5000  2 Ir 2.73
4 Y 0.5000 0.5000 0.0000  2 Ir 2.73
5 Ir 0.5000 0.5000 0.5000  6 Y 2.73

**Energy of formation from the pure elements**: -273.5 meV per atom
**SG**: Pm-3m